This record from the Alexandria database describes an optimized crystal structure of MnZn2Pt2. The functional is GGA-PBE.

Calculated values
- Symmetry: P4/mbm
- D(E_F): 4.2 states/eV/cell

Unit cell a=7.334 b=7.334 c=2.865 alpha=90.00 beta=90.00 gamma=90.00
Each line ends with the local moment (μB).
Atoms (fractional coordinates):
1 Zn 0.376 0.876 0.000  -0.01
2 Zn 0.876 0.624 0.000  -0.01
3 Zn 0.624 0.124 0.000  -0.01
4 Zn 0.124 0.376 0.000  -0.01
5 Mn 0.000 0.000 0.000  4.04
6 Mn 0.500 0.500 0.000  4.04
7 Pt 0.175 0.675 0.500  0.09
8 Pt 0.675 0.825 0.500  0.09
9 Pt 0.825 0.325 0.500  0.09
10 Pt 0.325 0.175 0.500  0.09

---

This record from the Alexandria database describes an optimized crystal structure of LiIrRu. The functional is GGA-PBE.

Calculated values
- Symmetry: Amm2
- D(E_F): 3.6 states/eV/cell

Unit cell a=4.412 b=4.491 c=4.491 alpha=63.89 beta=90.00 gamma=90.00
Atoms (fractional coordinates):
1 Ru 0.500 0.405 0.273
2 Ru 0.500 0.727 0.595
3 Ir 0.000 0.071 0.591
4 Ir 0.000 0.409 0.929
5 Li 0.000 0.749 0.251
6 Li 0.500 0.066 0.934

---

Final energy (computed, eV per cell): -50.92; -39.94
Total magnetization (computed, Bohr magnetons per cell): 8.76; 0.00
E above lowest polymorph (computed, eV per formula unit): 0.21; 0.13